Density functional theory data (PBEsol) for crystalline Ca2PbF at its relaxed geometry.

a b c (Å): 5.224 5.224 5.224
angles (deg): 60.00 60.00 60.00
Atoms (fractional coordinates):
Ca (0.250, 0.250, 0.250)
Ca (0.750, 0.750, 0.750)
Pb (0.000, 0.000, 0.000)
F (0.500, 0.500, 0.500)

## Properties
For the volume, the calculation gives 100.8 Å³/cell. The uncorrected energy comes out at -14.80 eV/cell. Its density is 5.0 g/cm³. For the energy relative to the elements, uncorrected, the calculation gives -1153 meV/atom.